This record from Alexandria via LeMat-Bulk describes a relaxed PmSm2YTe6 crystal. The functional is PBE-GGA.

```
PmSm2YTe6
1.0
7.8337 0.0002 0.0003
3.9170 6.7840 -0.0001
3.9166 2.2614 7.1194
Y Te Pm Sm
1 6 1 2
direct
0.3232 0.3232 0.0304 Y
0.5988 0.2265 0.2510 Te
0.7232 0.1074 0.7540 Te
0.2265 0.9237 0.2510 Te
0.4154 0.7232 0.7541 Te
0.1074 0.4154 0.7540 Te
0.9237 0.5988 0.2510 Te
0.8215 0.8215 0.5355 Pm
0.5117 0.5117 0.4650 Sm
0.0103 0.0103 0.9691 Sm
```

## Properties
Formation energy from raw total energies (kJ/mol of formula units): -1332
Magnetization (μB/f.u.): 0.00